Density functional theory data (GGA-PBE) for Pr2Sm4Dy2Mg after structural relaxation.

Results
* symmetry: P-1, No. 2
* total magnetization: 0.0000 μB/atom
* total DFT energy (no corrections): -0.1555 hartree per atom

a b c (Å): 7.1390 8.6273 6.6960
angles (deg): 120.30 120.09 79.73
With the nearest neighbours (Å) after each atom.
Element x y z (fractional)
Pr1 0.1701 0.8187 0.5184  1 Mg 3.53, 3 Dy 3.55-3.87, 6 Sm 3.59-3.87, 1 Pr 3.63
Pr2 0.8299 0.1813 0.4816  1 Mg 3.53, 3 Dy 3.55-3.87, 6 Sm 3.59-3.87, 1 Pr 3.63
Sm1 0.6597 0.6486 0.8430  3 Dy 3.40-3.78, 4 Sm 3.49-3.70, 1 Pr 3.59, 1 Mg 3.61
Sm2 0.6261 0.7805 0.4088  1 Mg 3.17, 2 Dy 3.42-3.43, 2 Sm 3.49-3.51
Sm3 0.3403 0.3514 0.1570  3 Dy 3.40-3.78, 4 Sm 3.49-3.70, 1 Pr 3.59, 1 Mg 3.61
Sm4 0.3739 0.2195 0.5912  1 Mg 3.17, 2 Dy 3.42-3.43, 2 Sm 3.49-3.51
Dy1 0.8606 0.3970 0.1647  1 Mg 3.16, 1 Dy 3.40, 4 Sm 3.40-3.45
Dy2 0.1394 0.6030 0.8353  1 Mg 3.16, 1 Dy 3.40, 4 Sm 3.40-3.45
Mg1 0.0000 0.0000 0.0000  2 Dy 3.16, 2 Sm 3.17, 2 Pr 3.53